Entry 1:
# PBE Ac3MgIr2, optimized geometry
# - Crystal system: orthorhombic
# - Size of the total moment: 0.000 μB/cell
# - ΔH_f (0 K): -0.53 eV per atom
# - Calculated total energy: -5.799 eV/atom
data_Ac3MgIr2
_chemical_formula_sum 'Ac12 Mg4 Ir8'
_cell_length_a 7.080
_cell_length_b 13.937
_cell_length_c 7.645
_cell_angle_alpha 90.00
_cell_angle_beta 90.00
_cell_angle_gamma 90.00
_space_group_name_H-M_alt 'I b a m'
_space_group_IT_number 72
_space_group_name_Hall '-I 2 2c'
loop_
_atom_site_label
_atom_site_type_symbol
_atom_site_fract_x
_atom_site_fract_y
_atom_site_fract_z
_atom_site_occupancy
Ac1 Ac 0.000 0.000 0.250 1
Ac2 Ac 0.000 0.279 0.250 1
Mg1 Mg 0.000 0.500 0.000 1
Ir1 Ir 0.218 0.135 0.000 1

---

Entry 2:
# PBE TaGe3Cl, optimized geometry
# - Uncorrected formation energy: 337 meV/atom
# - Crystal system: cubic
# - Size of the total moment: 0.000 μB/cell
# - Energy above the most stable polymorph in this dataset: 0.0000 eV per atom
# - Calculated total energy: -5.174 eV/atom
data_TaGe3Cl
_chemical_formula_sum 'Ta1 Ge3 Cl1'
_cell_length_a 5.074
_cell_length_b 5.074
_cell_length_c 5.074
_cell_angle_alpha 90.00
_cell_angle_beta 90.00
_cell_angle_gamma 90.00
_space_group_name_H-M_alt 'P m -3 m'
_space_group_IT_number 221
_space_group_name_Hall '-P 4 2 3'
loop_
_atom_site_label
_atom_site_type_symbol
_atom_site_fract_x
_atom_site_fract_y
_atom_site_fract_z
_atom_site_occupancy
Ta1 Ta 0.000 0.000 0.000 1
Ge1 Ge 0.000 0.000 0.500 1
Cl1 Cl 0.500 0.500 0.500 1

---

Entry 3:
# PBE LaNdCuO4, optimized geometry
# - Uncorrected formation energy: -2611 meV/atom
# - Crystal system: tetragonal
# - Size of the total moment: 0.000 μB/cell
# - Energy above the most stable polymorph in this dataset: 0.0000 eV per atom
# - Calculated total energy: -7.414 eV/atom
data_LaNdCuO4
_chemical_formula_sum 'La2 Nd2 Cu2 O8'
_cell_length_a 3.993
_cell_length_b 3.993
_cell_length_c 12.507
_cell_angle_alpha 90.00
_cell_angle_beta 90.00
_cell_angle_gamma 90.00
_space_group_name_H-M_alt 'I 4 m m'
_space_group_IT_number 107
_space_group_name_Hall 'I 4 -2'
loop_
_atom_site_label
_atom_site_type_symbol
_atom_site_fract_x
_atom_site_fract_y
_atom_site_fract_z
_atom_site_occupancy
La1 La 0.000 0.000 0.000 1
Nd1 Nd 0.000 0.000 0.701 1
Cu1 Cu 0.000 0.000 0.347 1
O1 O 0.000 0.500 0.102 1
O2 O 0.000 0.500 0.347 1

---

Entry 4:
# PBE Sr3Ac2Ga2Pt4, optimized geometry
# - Crystal system: trigonal
# - Size of the total moment: 0.000 μB/cell
# - ΔH_f (0 K): -0.83 eV per atom
# - Calculated total energy: -4.778 eV/atom
data_Sr3Ac2Ga2Pt4
_chemical_formula_sum 'Sr3 Ac2 Ga2 Pt4'
_cell_length_a 4.3845
_cell_length_b 4.3845
_cell_length_c 19.4915
_cell_angle_alpha 90.00
_cell_angle_beta 90.00
_cell_angle_gamma 120.00
_space_group_name_H-M_alt 'P -3 m 1'
_space_group_IT_number 164
_space_group_name_Hall '-P 3 2"'
loop_
_atom_site_label
_atom_site_type_symbol
_atom_site_fract_x
_atom_site_fract_y
_atom_site_fract_z
_atom_site_occupancy
Sr1 Sr 0.0000 0.0000 0.0000 1
Sr2 Sr 0.0000 0.0000 0.2286 1
Ac1 Ac 0.3333 0.6667 0.5940 1
Ga1 Ga 0.3333 0.6667 0.1150 1
Pt1 Pt 0.3333 0.6667 0.3280 1
Pt2 Pt 0.3333 0.6667 0.8859 1

---

Entry 5:
# PBE Pr4Dy3Tm4, optimized geometry
# - Crystal system: triclinic
# - Size of the total moment: 0.000 μB/cell
# - ΔH_f (0 K): 0.02 eV per atom
# - Energy above the most stable polymorph in this dataset: 0.0000 eV per atom
# - Calculated total energy: -4.598 eV/atom
data_Pr4Dy3Tm4
_chemical_formula_sum 'Pr4 Dy3 Tm4'
_cell_length_a 3.597
_cell_length_b 5.043
_cell_length_c 19.978
_cell_angle_alpha 97.24
_cell_angle_beta 95.15
_cell_angle_gamma 90.00
_space_group_name_H-M_alt 'P -1'
_space_group_IT_number 2
_space_group_name_Hall '-P 1'
loop_
_atom_site_label
_atom_site_type_symbol
_atom_site_fract_x
_atom_site_fract_y
_atom_site_fract_z
_atom_site_occupancy
Pr1 Pr 0.046 0.045 0.092 1
Pr2 Pr 0.318 0.318 0.635 1
Dy1 Dy 0.136 0.136 0.272 1
Dy2 Dy 0.500 0.500 0.000 1
Tm1 Tm 0.228 0.228 0.456 1
Tm2 Tm 0.407 0.409 0.816 1

---

Entry 6:
# PBE MnPIr2, optimized geometry
# - Crystal system: orthorhombic
# - Size of the total moment: 5.842 μB/cell
# - ΔH_f (0 K): 0.18 eV per atom
# - Calculated total energy: -7.896 eV/atom
data_MnPIr2
_chemical_formula_sum 'Mn2 P2 Ir4'
_cell_length_a 2.771
_cell_length_b 4.814
_cell_length_c 8.357
_cell_angle_alpha 90.00
_cell_angle_beta 90.00
_cell_angle_gamma 90.00
_space_group_name_H-M_alt 'C m m 2'
_space_group_IT_number 35
_space_group_name_Hall 'C 2 -2'
loop_
_atom_site_label
_atom_site_type_symbol
_atom_site_fract_x
_atom_site_fract_y
_atom_site_fract_z
_atom_site_occupancy
Mn1 Mn 0.000 0.000 0.000 1
P1 P 0.000 0.500 0.222 1
Ir1 Ir 0.000 0.000 0.452 1
Ir2 Ir 0.000 0.500 0.744 1

---

Entry 7:
# PBE PmEuAl, optimized geometry
# - Crystal system: tetragonal
# - Size of the total moment: 14.659 μB/cell
# - ΔH_f (0 K): -0.16 eV per atom
# - Energy above the most stable polymorph in this dataset: 0.0000 eV per atom
# - Calculated total energy: -6.419 eV/atom
data_PmEuAl
_chemical_formula_sum 'Pm2 Eu2 Al2'
_cell_length_a 3.743
_cell_length_b 3.743
_cell_length_c 13.036
_cell_angle_alpha 90.00
_cell_angle_beta 90.00
_cell_angle_gamma 90.00
_space_group_name_H-M_alt 'I 4 m m'
_space_group_IT_number 107
_space_group_name_Hall 'I 4 -2'
loop_
_atom_site_label
_atom_site_type_symbol
_atom_site_fract_x
_atom_site_fract_y
_atom_site_fract_z
_atom_site_occupancy
Pm1 Pm 0.000 0.000 0.000 1
Eu1 Eu 0.000 0.000 0.281 1
Al1 Al 0.000 0.000 0.631 1

---

Entry 8:
# PBE CdAgBrF2, optimized geometry
# - Uncorrected formation energy: -1255 meV/atom
# - Crystal system: tetragonal
# - Size of the total moment: 0.000 μB/cell
# - Energy above the most stable polymorph in this dataset: 0.0785 eV per atom
# - Calculated total energy: -3.091 eV/atom
data_CdAgBrF2
_chemical_formula_sum 'Cd1 Ag1 Br1 F2'
_cell_length_a 4.294
_cell_length_b 4.294
_cell_length_c 5.911
_cell_angle_alpha 90.00
_cell_angle_beta 90.00
_cell_angle_gamma 90.00
_space_group_name_H-M_alt 'P 4/m m m'
_space_group_IT_number 123
_space_group_name_Hall '-P 4 2'
loop_
_atom_site_label
_atom_site_type_symbol
_atom_site_fract_x
_atom_site_fract_y
_atom_site_fract_z
_atom_site_occupancy
Cd1 Cd 0.000 0.000 0.000 1
Ag1 Ag 0.500 0.500 0.500 1
Br1 Br 0.000 0.000 0.500 1
F1 F 0.000 0.500 0.000 1

---

Entry 9:
# PBE MnNbS4, optimized geometry
# - Uncorrected formation energy: -735 meV/atom
# - Crystal system: monoclinic
# - Size of the total moment: 2.224 μB/cell
# - Calculated total energy: -6.693 eV/atom
data_MnNbS4
_chemical_formula_sum 'Mn1 Nb1 S4'
_cell_length_a 5.688
_cell_length_b 3.349
_cell_length_c 6.950
_cell_angle_alpha 90.00
_cell_angle_beta 105.52
_cell_angle_gamma 90.00
_space_group_name_H-M_alt 'P 1 2/m 1'
_space_group_IT_number 10
_space_group_name_Hall '-P 2y'
loop_
_atom_site_label
_atom_site_type_symbol
_atom_site_fract_x
_atom_site_fract_y
_atom_site_fract_z
_atom_site_occupancy
Mn1 Mn 0.000 0.000 0.000 1
Nb1 Nb 0.500 0.500 0.000 1
S1 S 0.216 0.500 0.212 1
S2 S 0.246 0.000 0.775 1

---

Entry 10:
# PBE TbY3Al8, optimized geometry
# - Crystal system: trigonal
# - Size of the total moment: 0.000 μB/cell
# - ΔH_f (0 K): -0.53 eV per atom
# - Energy above the most stable polymorph in this dataset: 0.0000 eV per atom
# - Calculated total energy: -5.026 eV/atom
data_TbY3Al8
_chemical_formula_sum 'Tb3 Y9 Al24'
_cell_length_a 5.5639
_cell_length_b 5.5639
_cell_length_c 27.3894
_cell_angle_alpha 90.00
_cell_angle_beta 90.00
_cell_angle_gamma 120.00
_space_group_name_H-M_alt 'R 3 m'
_space_group_IT_number 160
_space_group_name_Hall 'R 3 -2"'
loop_
_atom_site_label
_atom_site_type_symbol
_atom_site_fract_x
_atom_site_fract_y
_atom_site_fract_z
_atom_site_occupancy
Tb1 Tb 0.0000 0.0000 0.0000 1
Y1 Y 0.0000 0.0000 0.1245 1
Y2 Y 0.0000 0.0000 0.5001 1
Y3 Y 0.0000 0.0000 0.6246 1
Al1 Al 0.0000 0.0000 0.3123 1
Al2 Al 0.0000 0.0000 0.8124 1
Al3 Al 0.0001 0.5000 0.0623 1
Al4 Al 0.0001 0.5000 0.5622 1

---

Entry 11:
# PBE La4NdEr2Th, optimized geometry
# - Crystal system: orthorhombic
# - Size of the total moment: 0.001 μB/cell
# - ΔH_f (0 K): 0.04 eV per atom
# - Calculated total energy: -5.090 eV/atom
data_La4NdEr2Th
_chemical_formula_sum 'La4 Nd1 Er2 Th1'
_cell_length_a 5.146
_cell_length_b 5.169
_cell_length_c 10.348
_cell_angle_alpha 90.00
_cell_angle_beta 90.00
_cell_angle_gamma 90.00
_space_group_name_H-M_alt 'P m m m'
_space_group_IT_number 47
_space_group_name_Hall '-P 2 2'
loop_
_atom_site_label
_atom_site_type_symbol
_atom_site_fract_x
_atom_site_fract_y
_atom_site_fract_z
_atom_site_occupancy
La1 La 0.000 0.000 0.246 1
La2 La 0.500 0.500 0.247 1
Nd1 Nd 0.500 0.000 0.500 1
Er1 Er 0.000 0.500 0.500 1
Er2 Er 0.500 0.000 0.000 1
Th1 Th 0.000 0.500 0.000 1

---

Entry 12:
# PBE Ba6ZnAs2Br3, optimized geometry
# - Uncorrected formation energy: -1317 meV/atom
# - Crystal system: monoclinic
# - Size of the total moment: 6.071 μB/cell
# - Calculated total energy: -3.578 eV/atom
data_Ba6ZnAs2Br3
_chemical_formula_sum 'Ba12 Zn2 As4 Br6'
_cell_length_a 8.380
_cell_length_b 14.524
_cell_length_c 8.457
_cell_angle_alpha 90.00
_cell_angle_beta 109.26
_cell_angle_gamma 90.00
_space_group_name_H-M_alt 'C 1 2/m 1'
_space_group_IT_number 12
_space_group_name_Hall '-C 2y'
loop_
_atom_site_label
_atom_site_type_symbol
_atom_site_fract_x
_atom_site_fract_y
_atom_site_fract_z
_atom_site_occupancy
Ba1 Ba 0.230 0.000 0.222 1
Ba2 Ba 0.245 0.328 0.221 1
Zn1 Zn 0.000 0.500 0.000 1
As1 As 0.000 0.166 0.000 1
Br1 Br 0.000 0.000 0.500 1
Br2 Br 0.000 0.331 0.500 1

---

- The lowest calculated total energy belongs to which entry?
  MnPIr2